No. 1
# SrPtO

An optimized crystal structure of SrPtO (PBE, Alexandria via LeMat-Bulk).

As for the total DFT energy (no corrections): -5.602 eV/atom. The formation energy (no corrections) comes out at -1375 meV/atom.

The structure belongs to space group P-1 (No. 2); the cell edges are 3.565, 5.058 and 7.022 Å and the angles 90.61°, 104.66° and 110.62°. The distinct sites, in fractional coordinates, are Sr at (0.250, 0.187, 0.315), Pt at (0.139, 0.397, 0.880) and O at (0.448, 0.215, 0.680).

***

No. 2
# SrPtO

An optimized crystal structure of SrPtO (PBE, Alexandria via LeMat-Bulk).

As for the total DFT energy (no corrections): -5.761 eV/atom. The formation energy (no corrections) comes out at -1534 meV/atom.

The structure belongs to space group Cmcm (No. 63); the cell edges are 4.968, 12.140 and 3.605 Å and the angles 90.00°, 90.00° and 90.00°. The distinct sites, in fractional coordinates, are Sr at (0.000, 0.162, 0.250), Pt at (0.000, 0.427, 0.250) and O at (0.000, 0.306, 0.750).

***

No. 3
# SrPtO

An optimized crystal structure of SrPtO (PBE, Alexandria via LeMat-Bulk).

As for the total DFT energy (no corrections): -5.577 eV/atom. The formation energy (no corrections) comes out at -1350 meV/atom.

The structure belongs to space group Cm (No. 8); the cell edges are 11.188, 3.429 and 8.194 Å and the angles 90.00°, 128.55° and 90.00°. The distinct sites, in fractional coordinates, are Sr at (0.000, 0.000, 0.000), Sr at (0.132, 0.500, 0.531), Pt at (0.325, 0.000, 0.448), Pt at (0.344, 0.500, 0.223), O at (0.334, 0.000, 0.713) and O at (0.418, 0.000, 0.137).

***

No. 4
# SrPt3O

An optimized crystal structure of SrPt3O (PBE, Alexandria via LeMat-Bulk).

The energy relative to the lowest polymorph listed for this composition is 0.000 kcal/mol of atoms. As for the total DFT energy (no corrections): -5.005 eV/atom. The formation energy (no corrections) comes out at -53 meV/atom.

The structure belongs to space group Pm-3m (No. 221); the cell edges are 4.475, 4.475 and 4.475 Å and the angles 90.00°, 90.00° and 90.00°. The distinct sites, in fractional coordinates, are Sr at (0.000, 0.000, 0.000), Pt at (0.000, 0.500, 0.500) and O at (0.500, 0.500, 0.500).

***

No. 5
# SrPtO

An optimized crystal structure of SrPtO (PBE, Alexandria via LeMat-Bulk).

As for the total DFT energy (no corrections): -5.545 eV/atom. The formation energy (no corrections) comes out at -1318 meV/atom.

The structure belongs to space group Pm (No. 6); the cell edges are 5.753, 3.496 and 5.778 Å and the angles 90.00°, 97.06° and 90.00°. The distinct sites, in fractional coordinates, are Sr at (0.000, 0.000, 0.000), Sr at (0.374, 0.000, 0.626), Pt at (0.524, 0.000, 0.150), Pt at (0.768, 0.500, 0.394), O at (0.302, 0.500, 0.927) and O at (0.943, 0.000, 0.573).

***

No. 6
# SrPtO

An optimized crystal structure of SrPtO (PBE, Alexandria via LeMat-Bulk).

As for the total DFT energy (no corrections): -5.672 eV/atom. The formation energy (no corrections) comes out at -1445 meV/atom.

The structure belongs to space group Imm2 (No. 44); the cell edges are 4.765, 10.313 and 5.099 Å and the angles 90.00°, 90.00° and 90.00°. The distinct sites, in fractional coordinates, are Sr at (0.000, 0.210, 0.000), Pt at (0.000, 0.000, 0.516), Pt at (0.000, 0.500, 0.176) and O at (0.000, 0.201, 0.499).

***

No. 7
# Sr4PtO5

An optimized crystal structure of Sr4PtO5 (PBE, Alexandria via LeMat-Bulk).

As for the total DFT energy (no corrections): -5.840 eV/atom. The formation energy (no corrections) comes out at -2085 meV/atom.

The structure belongs to space group I4/m (No. 87); the cell edges are 7.975, 7.975 and 5.130 Å and the angles 90.00°, 90.00° and 90.00°. The distinct sites, in fractional coordinates, are Sr at (0.103, 0.706, 0.000), Pt at (0.000, 0.000, 0.500), O at (0.000, 0.000, 0.000) and O at (0.095, 0.708, 0.500).

***

No. 8
# Sr3Pt2O8

An optimized crystal structure of Sr3Pt2O8 (PBE, Alexandria via LeMat-Bulk).

As for the total DFT energy (no corrections): -5.626 eV/atom. The formation energy (no corrections) comes out at -1257 meV/atom.

The structure belongs to space group R-3m (No. 166, hexagonal axes); the cell edges are 5.9858, 5.9858 and 19.6955 Å and the angles 90.00°, 90.00° and 120.00°. The distinct sites, in fractional coordinates, are Sr at (0.0000, 0.0000, 0.0000), Sr at (0.0000, 0.0000, 0.2106), Pt at (0.0000, 0.0000, 0.4300), O at (0.0000, 0.0000, 0.3276) and O at (0.0299, 0.5150, 0.7718).

***

No. 9
# Sr2PtO

An optimized crystal structure of Sr2PtO (PBE, Alexandria via LeMat-Bulk).

As for the total DFT energy (no corrections): -5.113 eV/atom. The formation energy (no corrections) comes out at -1523 meV/atom.

The structure belongs to space group I-42d (No. 122); the cell edges are 7.017, 7.017 and 8.350 Å and the angles 90.00°, 90.00° and 90.00°. The distinct sites, in fractional coordinates, are Sr at (0.181, 0.250, 0.125), Pt at (0.000, 0.000, 0.500) and O at (0.000, 0.000, 0.000).

***

No. 10
# SrTb2PtO5

An optimized crystal structure of SrTb2PtO5 (PBE, Alexandria via LeMat-Bulk).

As for the total DFT energy (no corrections): -7.303 eV/atom. The formation energy (no corrections) comes out at -2661 meV/atom.

The structure belongs to space group P4/mbm (No. 127); the cell edges are 6.557, 6.557 and 5.891 Å and the angles 90.00°, 90.00° and 90.00°. The distinct sites, in fractional coordinates, are Sr at (0.000, 0.000, 0.000), Tb at (0.174, 0.326, 0.500), Pt at (0.000, 0.500, 0.000), O at (0.000, 0.000, 0.500) and O at (0.143, 0.643, 0.257).

***

No. 11
# Sr2TcPtO6

An optimized crystal structure of Sr2TcPtO6 (PBE, Alexandria via LeMat-Bulk).

As for the total DFT energy (no corrections): -6.775 eV/atom. The formation energy (no corrections) comes out at -1823 meV/atom.

The structure belongs to space group P-1 (No. 2); the cell edges are 5.099, 5.444 and 6.019 Å and the angles 116.77°, 107.43° and 90.03°. The distinct sites, in fractional coordinates, are Sr at (0.215, 0.230, 0.460), Tc at (0.000, 0.500, 0.000), Pt at (0.500, 0.000, 0.000), O at (0.192, 0.176, 0.859), O at (0.193, 0.681, 0.858) and O at (0.276, 0.669, 0.340).

***

No. 12
# SrTe2PtO8

An optimized crystal structure of SrTe2PtO8 (PBE, Alexandria via LeMat-Bulk).

As for the total DFT energy (no corrections): -5.517 eV/atom. The formation energy (no corrections) comes out at -1045 meV/atom.

The structure belongs to space group Cmmm (No. 65); the cell edges are 6.847, 7.175 and 6.753 Å and the angles 90.00°, 90.00° and 90.00°. The distinct sites, in fractional coordinates, are Sr at (0.000, 0.000, 0.000), Te at (0.000, 0.500, 0.256), Pt at (0.000, 0.000, 0.500), O at (0.000, 0.298, 0.500), O at (0.000, 0.335, 0.000) and O at (0.210, 0.000, 0.282).

***

No. 13
# SrTePtO6

An optimized crystal structure of SrTePtO6 (PBE, Alexandria via LeMat-Bulk).

As for the total DFT energy (no corrections): -5.939 eV/atom. The formation energy (no corrections) comes out at -1427 meV/atom.

The structure belongs to space group P312 (No. 149); the cell edges are 5.3040, 5.3040 and 5.4404 Å and the angles 90.00°, 90.00° and 120.00°. The distinct sites, in fractional coordinates, are Sr at (0.0000, 0.0000, 0.0000), Te at (0.6667, 0.3333, 0.5000), Pt at (0.3333, 0.6667, 0.5000) and O at (0.3740, 0.0091, 0.7019).

***

No. 14
# SrThPt2O8

An optimized crystal structure of SrThPt2O8 (PBE, Alexandria via LeMat-Bulk).

As for the total DFT energy (no corrections): -6.225 eV/atom. The formation energy (no corrections) comes out at -1154 meV/atom.

The structure belongs to space group P-3m1 (No. 164); the cell edges are 6.0832, 6.0832 and 7.3018 Å and the angles 90.00°, 90.00° and 120.00°. The distinct sites, in fractional coordinates, are Sr at (0.0000, 0.0000, 0.0000), Th at (0.0000, 0.0000, 0.5000), Pt at (0.3333, 0.6667, 0.7916), O at (0.1561, 0.3121, 0.7161) and O at (0.3333, 0.6667, 0.0431).

***

No. 15
# Sr2TiPt3O12

An optimized crystal structure of Sr2TiPt3O12 (PBE, Alexandria via LeMat-Bulk).

As for the total DFT energy (no corrections): -6.252 eV/atom. The formation energy (no corrections) comes out at -1315 meV/atom.

The structure belongs to space group R-3m (No. 166, hexagonal axes); the cell edges are 7.1556, 7.1556 and 17.8152 Å and the angles 90.00°, 90.00° and 120.00°. The distinct sites, in fractional coordinates, are Sr at (0.0000, 0.0000, 0.1820), Ti at (0.0000, 0.0000, 0.5000), Pt at (0.0000, 0.5000, 0.0000), O at (0.0680, 0.5340, 0.1087) and O at (0.0702, 0.5351, 0.3689).

***

No. 16
# SrTl2PtO6

An optimized crystal structure of SrTl2PtO6 (PBE, Alexandria via LeMat-Bulk).

As for the total DFT energy (no corrections): -5.303 eV/atom. The formation energy (no corrections) comes out at -1082 meV/atom.

The structure belongs to space group P2_1/c (No. 14); the cell edges are 5.828, 5.952 and 10.176 Å and the angles 90.00°, 124.72° and 90.00°. The distinct sites, in fractional coordinates, are Sr at (0.000, 0.000, 0.000), Tl at (0.219, 0.025, 0.722), Pt at (0.500, 0.000, 0.500), O at (0.177, 0.157, 0.475), O at (0.223, 0.740, 0.388) and O at (0.413, 0.122, 0.290).

***

No. 17
# Sr6Tl2PtO

An optimized crystal structure of Sr6Tl2PtO (PBE, Alexandria via LeMat-Bulk).

As for the total DFT energy (no corrections): -3.421 eV/atom. The formation energy (no corrections) comes out at -839 meV/atom.

The structure belongs to space group Pmmn (No. 59, origin choice 2); the cell edges are 7.854, 11.063 and 7.855 Å and the angles 90.00°, 90.00° and 90.00°. The distinct sites, in fractional coordinates, are Sr at (0.012, 0.250, 0.013), Sr at (0.013, 0.250, 0.488), Sr at (0.250, 0.013, 0.250), Tl at (0.250, 0.000, 0.750), Pt at (0.250, 0.750, 0.250) and O at (0.250, 0.250, 0.250).

***

No. 18
# SrTlPtO4

An optimized crystal structure of SrTlPtO4 (PBE, Alexandria via LeMat-Bulk).

As for the total DFT energy (no corrections): -5.406 eV/atom. The formation energy (no corrections) comes out at -1131 meV/atom.

The structure belongs to space group Imma (No. 74); the cell edges are 6.383, 6.544 and 10.780 Å and the angles 90.00°, 90.00° and 90.00°. The distinct sites, in fractional coordinates, are Sr at (0.000, 0.250, 0.142), Tl at (0.250, 0.250, 0.750), Pt at (0.000, 0.000, 0.500), O at (0.000, 0.018, 0.312) and O at (0.204, 0.250, 0.512).

***

No. 19
# Sr2TlPtO6

An optimized crystal structure of Sr2TlPtO6 (PBE, Alexandria via LeMat-Bulk).

As for the total DFT energy (no corrections): -5.643 eV/atom. The formation energy (no corrections) comes out at -1491 meV/atom.

The structure belongs to space group P2_1/c (No. 14); the cell edges are 5.822, 6.000 and 10.051 Å and the angles 90.00°, 125.01° and 90.00°. The distinct sites, in fractional coordinates, are Sr at (0.236, 0.055, 0.249), Tl at (0.500, 0.000, 0.000), Pt at (0.000, 0.000, 0.500), O at (0.125, 0.220, 0.945), O at (0.234, 0.686, 0.951) and O at (0.332, 0.036, 0.733).

***

No. 20
# SrTm4Pt3O12

An optimized crystal structure of SrTm4Pt3O12 (PBE, Alexandria via LeMat-Bulk).

As for the total DFT energy (no corrections): -7.060 eV/atom. The formation energy (no corrections) comes out at -2201 meV/atom.

The structure belongs to space group Im-3 (No. 204); the cell edges are 8.173, 8.173 and 8.173 Å and the angles 90.00°, 90.00° and 90.00°. The distinct sites, in fractional coordinates, are Sr at (0.000, 0.000, 0.000), Tm at (0.250, 0.250, 0.250), Pt at (0.000, 0.000, 0.500) and O at (0.000, 0.160, 0.314).